A geometry-optimized Bi2CO structure. Source: the Alexandria database, functional GGA-PBEsol.

Structure (POSCAR):
```
Bi2CO
1.0
0.000 3.165 3.165
3.165 0.000 3.165
3.165 3.165 0.000
Bi C O
2 1 1
Direct
0.250 0.250 0.250
0.750 0.750 0.750
0.000 0.000 0.000
0.500 0.500 0.500
```

Values from the calculation:
Total energy   -5.08 eV/atom
Calculated volume   15.86 Å³/atom



A geometry-optimized Bi2CO5 structure. Source: the Alexandria database, functional GGA-PBEsol.

Structure (POSCAR):
```
Bi2CO5
1.0
0.000 7.002 2.761
2.723 0.000 2.761
2.723 7.002 0.000
Bi C O
2 1 5
Direct
0.161 0.839 0.161
0.839 0.161 0.839
0.541 0.541 0.459
0.248 0.248 0.252
0.348 0.511 0.489
0.511 0.348 0.652
0.748 0.748 0.752
0.775 0.775 0.225
```

Values from the calculation:
Total energy   -6.92 eV/atom
Calculated volume   13.16 Å³/atom



A geometry-optimized Bi2CO5 structure. Source: the Alexandria database, functional GGA-PBEsol.

Structure (POSCAR):
```
Bi2CO5
1.0
-1.774 2.251 6.799
1.774 -2.251 6.799
1.774 2.251 -6.799
Bi C O
2 1 5
Direct
0.000 0.000 0.000
0.322 0.322 0.000
0.647 0.647 0.000
0.354 0.599 0.755
0.420 0.920 0.500
0.742 0.742 0.000
0.844 0.599 0.245
0.893 0.393 0.500
```

Values from the calculation:
Total energy   -6.81 eV/atom
Calculated volume   13.57 Å³/atom



A geometry-optimized Bi3CO structure. Source: the Alexandria database, functional GGA-PBEsol.

Structure (POSCAR):
```
Bi3CO
1.0
4.803 0.000 0.000
0.000 4.803 0.000
0.000 0.000 4.803
Bi C O
3 1 1
Direct
0.000 0.000 0.500
0.000 0.500 0.000
0.500 0.000 0.000
0.500 0.500 0.500
0.000 0.000 0.000
```

Values from the calculation:
Total energy   -4.45 eV/atom
Calculated volume   22.16 Å³/atom



A geometry-optimized BiP2CO structure. Source: the Alexandria database, functional GGA-PBEsol.

Structure (POSCAR):
```
BiP2CO
1.0
3.622 0.000 0.000
0.000 3.622 0.000
0.000 0.000 5.811
Bi P C O
1 2 1 1
Direct
0.000 0.000 0.000
0.000 0.500 0.500
0.500 0.000 0.500
0.500 0.500 0.500
0.500 0.500 0.000
```

Values from the calculation:
Total energy   -5.37 eV/atom
Calculated volume   15.24 Å³/atom



A geometry-optimized Bi3OsC structure. Source: the Alexandria database, functional GGA-PBEsol.

Structure (POSCAR):
```
Bi3OsC
1.0
5.218 0.000 0.000
0.000 5.218 0.000
0.000 0.000 5.218
Bi Os C
3 1 1
Direct
0.000 0.000 0.500
0.000 0.500 0.000
0.500 0.000 0.000
0.000 0.000 0.000
0.500 0.500 0.500
```

Values from the calculation:
Total energy   -4.94 eV/atom
Formation energy   2.008 eV/atom
Calculated volume   28.41 Å³/atom



A geometry-optimized Bi2OsC structure. Source: the Alexandria database, functional GGA-PBEsol.

Structure (POSCAR):
```
Bi2OsC
1.0
-2.972 2.972 5.112
2.972 -2.972 5.112
2.972 2.972 -5.112
Bi Os C
4 2 2
Direct
0.082 0.625 0.957
0.375 0.332 0.457
0.668 0.125 0.043
0.875 0.918 0.543
0.250 0.750 0.500
0.500 0.500 0.000
0.000 0.000 0.000
0.750 0.250 0.500
```

Values from the calculation:
Total energy   -6.08 eV/atom
Formation energy   1.523 eV/atom
Calculated volume   22.58 Å³/atom



A geometry-optimized BiOsC3 structure. Source: the Alexandria database, functional GGA-PBEsol.

Structure (POSCAR):
```
BiOsC3
1.0
4.045 0.000 0.000
0.000 4.045 0.000
0.000 0.000 4.045
Bi Os C
1 1 3
Direct
0.000 0.000 0.000
0.500 0.500 0.500
0.000 0.500 0.500
0.500 0.000 0.500
0.500 0.500 0.000
```

Values from the calculation:
Total energy   -7.22 eV/atom
Formation energy   1.867 eV/atom
Calculated volume   13.24 Å³/atom



A geometry-optimized ScBiOsC2 structure. Source: the Alexandria database, functional GGA-PBEsol.

Structure (POSCAR):
```
ScBiOsC2
1.0
3.970 0.000 0.000
0.000 3.970 0.000
0.000 0.000 5.781
Sc Bi Os C
1 1 1 2
Direct
0.000 0.000 0.000
0.500 0.500 0.000
0.500 0.500 0.500
0.000 0.500 0.500
0.500 0.000 0.500
```

Values from the calculation:
Total energy   -7.44 eV/atom
Formation energy   1.034 eV/atom
Calculated volume   18.22 Å³/atom



A geometry-optimized Ti2BiOsC structure. Source: the Alexandria database, functional GGA-PBEsol.

Structure (POSCAR):
```
Ti2BiOsC
1.0
4.061 0.000 0.000
0.000 4.061 0.000
0.000 0.000 4.775
Ti Bi Os C
2 1 1 1
Direct
0.000 0.500 0.000
0.500 0.000 0.000
0.000 0.000 0.500
0.500 0.500 0.500
0.000 0.000 0.000
```

Values from the calculation:
Total energy   -8.22 eV/atom
Formation energy   0.334 eV/atom
Calculated volume   15.75 Å³/atom



A geometry-optimized BiPC3 structure. Source: the Alexandria database, functional GGA-PBEsol.

Structure (POSCAR):
```
BiPC3
1.0
3.807 0.000 0.000
0.000 3.807 0.000
0.000 0.000 3.807
Bi P C
1 1 3
Direct
0.000 0.000 0.000
0.500 0.500 0.500
0.000 0.500 0.500
0.500 0.000 0.500
0.500 0.500 0.000
```

Values from the calculation:
Total energy   -5.92 eV/atom
Formation energy   1.883 eV/atom
Calculated volume   11.04 Å³/atom



A geometry-optimized BiP3C structure. Source: the Alexandria database, functional GGA-PBEsol.

Structure (POSCAR):
```
BiP3C
1.0
4.248 0.000 0.000
0.000 4.248 0.000
0.000 0.000 4.248
Bi P C
1 3 1
Direct
0.000 0.000 0.000
0.000 0.500 0.500
0.500 0.000 0.500
0.500 0.500 0.000
0.500 0.500 0.500
```

Values from the calculation:
Total energy   -5.27 eV/atom
Formation energy   0.989 eV/atom
Calculated volume   15.33 Å³/atom



A geometry-optimized Bi3PdC structure. Source: the Alexandria database, functional GGA-PBEsol.

Structure (POSCAR):
```
Bi3PdC
1.0
4.843 0.000 0.000
0.000 4.843 0.000
0.000 0.000 4.843
Bi Pd C
3 1 1
Direct
0.000 0.000 0.500
0.000 0.500 0.000
0.500 0.000 0.000
0.500 0.500 0.500
0.000 0.000 0.000
```

Values from the calculation:
Total energy   -4.75 eV/atom
Formation energy   0.942 eV/atom
Calculated volume   22.72 Å³/atom



A geometry-optimized BiPtC3 structure. Source: the Alexandria database, functional GGA-PBEsol.

Structure (POSCAR):
```
BiPtC3
1.0
4.339 0.000 0.000
0.000 4.339 0.000
0.000 0.000 4.339
Bi Pt C
1 1 3
Direct
0.000 0.000 0.000
0.500 0.500 0.500
0.000 0.000 0.500
0.000 0.500 0.000
0.500 0.000 0.000
```

Values from the calculation:
Total energy   -4.36 eV/atom
Formation energy   3.677 eV/atom
Calculated volume   16.33 Å³/atom



A geometry-optimized RbBiRh2C structure. Source: the Alexandria database, functional GGA-PBEsol.

Structure (POSCAR):
```
RbBiRh2C
1.0
5.088 0.000 0.000
0.000 5.088 0.000
0.000 0.000 4.636
Rb Bi Rh C
1 1 2 1
Direct
0.000 0.000 0.000
0.500 0.500 0.500
0.000 0.500 0.500
0.500 0.000 0.500
0.500 0.500 0.000
```

Values from the calculation:
Total energy   -4.51 eV/atom
Formation energy   1.737 eV/atom
Calculated volume   24.00 Å³/atom



A geometry-optimized BiRhC3 structure. Source: the Alexandria database, functional GGA-PBEsol.

Structure (POSCAR):
```
BiRhC3
1.0
4.337 0.000 0.000
0.000 4.337 0.000
0.000 0.000 4.337
Bi Rh C
1 1 3
Direct
0.000 0.000 0.000
0.500 0.500 0.500
0.000 0.000 0.500
0.000 0.500 0.000
0.500 0.000 0.000
```

Values from the calculation:
Total energy   -4.56 eV/atom
Formation energy   3.711 eV/atom
Calculated volume   16.31 Å³/atom



A geometry-optimized BiRuC3 structure. Source: the Alexandria database, functional GGA-PBEsol.

Structure (POSCAR):
```
BiRuC3
1.0
4.024 0.000 0.000
0.000 4.024 0.000
0.000 0.000 4.024
Bi Ru C
1 1 3
Direct
0.000 0.000 0.000
0.500 0.500 0.500
0.000 0.500 0.500
0.500 0.000 0.500
0.500 0.500 0.000
```

Values from the calculation:
Total energy   -6.75 eV/atom
Formation energy   1.932 eV/atom
Calculated volume   13.03 Å³/atom



A geometry-optimized BiC2S structure. Source: the Alexandria database, functional GGA-PBEsol.

Structure (POSCAR):
```
BiC2S
1.0
-2.692 2.692 3.754
2.692 -2.692 3.754
2.692 2.692 -3.754
Bi C S
2 4 2
Direct
0.000 0.000 0.000
0.750 0.250 0.500
0.249 0.625 0.124
0.375 0.499 0.624
0.501 0.125 0.876
0.875 0.751 0.376
0.250 0.750 0.500
0.500 0.500 0.000
```

Values from the calculation:
Total energy   -5.38 eV/atom
Calculated volume   13.60 Å³/atom



A geometry-optimized BiC3S structure. Source: the Alexandria database, functional GGA-PBEsol.

Structure (POSCAR):
```
BiC3S
1.0
3.796 0.000 0.000
0.000 3.796 0.000
0.000 0.000 3.796
Bi C S
1 3 1
Direct
0.000 0.000 0.000
0.000 0.500 0.500
0.500 0.000 0.500
0.500 0.500 0.000
0.500 0.500 0.500
```

Values from the calculation:
Total energy   -5.18 eV/atom
Calculated volume   10.94 Å³/atom



A geometry-optimized BiCS2 structure. Source: the Alexandria database, functional GGA-PBEsol.

Structure (POSCAR):
```
BiCS2
1.0
0.000 3.258 3.258
3.258 0.000 3.258
3.258 3.258 0.000
Bi C S
1 1 2
Direct
0.000 0.000 0.000
0.500 0.500 0.500
0.250 0.250 0.250
0.750 0.750 0.750
```

Values from the calculation:
Total energy   -4.22 eV/atom
Calculated volume   17.29 Å³/atom



A geometry-optimized BiSbC2 structure. Source: the Alexandria database, functional GGA-PBEsol.

Structure (POSCAR):
```
BiSbC2
1.0
0.000 3.144 3.144
3.144 0.000 3.144
3.144 3.144 0.000
Bi Sb C
1 1 2
Direct
0.000 0.000 0.000
0.500 0.500 0.500
0.250 0.250 0.250
0.750 0.750 0.750
```

Values from the calculation:
Total energy   -4.87 eV/atom
Calculated volume   15.54 Å³/atom



A geometry-optimized Bi2SbC structure. Source: the Alexandria database, functional GGA-PBEsol.

Structure (POSCAR):
```
Bi2SbC
1.0
-3.557 3.557 4.014
3.557 -3.557 4.014
3.557 3.557 -4.014
Bi Sb C
4 2 2
Direct
0.039 0.625 0.914
0.375 0.289 0.414
0.711 0.125 0.086
0.875 0.961 0.586
0.250 0.750 0.500
0.500 0.500 0.000
0.000 0.000 0.000
0.750 0.250 0.500
```

Values from the calculation:
Total energy   -4.72 eV/atom
Calculated volume   25.39 Å³/atom



A geometry-optimized BiSb2C structure. Source: the Alexandria database, functional GGA-PBEsol.

Structure (POSCAR):
```
BiSb2C
1.0
0.000 3.565 3.565
3.565 0.000 3.565
3.565 3.565 0.000
Bi Sb C
1 2 1
Direct
0.000 0.000 0.000
0.250 0.250 0.250
0.750 0.750 0.750
0.500 0.500 0.500
```

Values from the calculation:
Total energy   -4.25 eV/atom
Calculated volume   22.65 Å³/atom



A geometry-optimized SiBiSb2C structure. Source: the Alexandria database, functional GGA-PBEsol.

Structure (POSCAR):
```
SiBiSb2C
1.0
5.770 0.000 0.000
0.000 5.770 0.000
0.000 0.000 4.286
Si Bi Sb C
1 1 2 1
Direct
0.000 0.000 0.000
0.500 0.500 0.500
0.000 0.500 0.500
0.500 0.000 0.500
0.500 0.500 0.000
```

Values from the calculation:
Total energy   -3.80 eV/atom
Calculated volume   28.55 Å³/atom



A geometry-optimized SrBi2CSe structure. Source: the Alexandria database, functional GGA-PBEsol.

Structure (POSCAR):
```
SrBi2CSe
1.0
5.118 0.000 0.000
0.000 5.118 0.000
0.000 0.000 4.589
Sr Bi C Se
1 2 1 1
Direct
0.000 0.000 0.000
0.000 0.500 0.500
0.500 0.000 0.500
0.500 0.500 0.500
0.500 0.500 0.000
```

Values from the calculation:
Total energy   -4.32 eV/atom
Calculated volume   24.04 Å³/atom



A geometry-optimized Ti2SiBiC structure. Source: the Alexandria database, functional GGA-PBEsol.

Structure (POSCAR):
```
Ti2SiBiC
1.0
4.896 0.000 0.000
0.000 4.896 0.000
0.000 0.000 3.577
Ti Si Bi C
2 1 1 1
Direct
0.000 0.500 0.000
0.500 0.000 0.000
0.000 0.000 0.000
0.500 0.500 0.500
0.000 0.000 0.500
```

Values from the calculation:
Total energy   -6.65 eV/atom
Calculated volume   17.15 Å³/atom



A geometry-optimized Sn3BiC structure. Source: the Alexandria database, functional GGA-PBEsol.

Structure (POSCAR):
```
Sn3BiC
1.0
5.809 0.000 0.000
0.000 5.809 0.000
0.000 0.000 5.809
Sn Bi C
3 1 1
Direct
0.000 0.000 0.500
0.000 0.500 0.000
0.500 0.000 0.000
0.000 0.000 0.000
0.500 0.500 0.500
```

Values from the calculation:
Total energy   -3.14 eV/atom
Formation energy   2.203 eV/atom
Calculated volume   39.21 Å³/atom



A geometry-optimized Sr3BiC structure. Source: the Alexandria database, functional GGA-PBEsol.

Structure (POSCAR):
```
Sr3BiC
1.0
6.225 0.000 0.000
0.000 6.225 0.000
0.000 0.000 6.225
Sr Bi C
3 1 1
Direct
0.000 0.000 0.500
0.000 0.500 0.000
0.500 0.000 0.000
0.000 0.000 0.000
0.500 0.500 0.500
```

Values from the calculation:
Total energy   -2.85 eV/atom
Formation energy   1.037 eV/atom
Calculated volume   48.24 Å³/atom